1.
An optimized crystal structure of Tb2P2Rh5, computed with PBE.

Cell: 4.115 4.115 8.720 Å, 90.00 90.00 90.00°
Fractional positions:
1 Rh 0.000 0.500 0.743
2 Rh 0.500 0.500 0.500
3 Rh 0.000 0.500 0.257
4 Rh 0.500 0.000 0.743
5 Rh 0.500 0.000 0.257
6 Tb 0.000 0.000 0.500
7 Tb 0.000 0.000 0.000
8 P 0.500 0.500 0.860
9 P 0.500 0.500 0.140

Values from the calculation:
SG   P4/mmm
Total energy   -65.8 eV per cell
ΔE to the lowest computed polymorph   0.000 eV/atom
Calculated formation energy   -994 meV/atom
Spin magnetization   0.00 μB per atom


2.
An optimized crystal structure of Tb2P7Rh12, computed with PBE.

Cell: 3.877 9.599 9.599 Å, 120.00 90.00 90.00°
Fractional positions:
1 P 0.755 0.286 0.405
2 P 0.245 0.405 0.119
3 P 0.245 0.714 0.595
4 P 0.500 0.000 0.000
5 P 0.755 0.119 0.714
6 P 0.755 0.595 0.881
7 P 0.245 0.881 0.286
8 Rh 0.751 0.382 0.933
9 Rh 0.750 0.849 0.111
10 Rh 0.249 0.449 0.382
11 Rh 0.250 0.738 0.849
12 Rh 0.250 0.111 0.262
13 Rh 0.250 0.151 0.889
14 Rh 0.249 0.933 0.551
15 Rh 0.750 0.262 0.151
16 Rh 0.249 0.618 0.067
17 Rh 0.750 0.889 0.738
18 Rh 0.751 0.067 0.449
19 Rh 0.751 0.551 0.618
20 Tb 0.252 0.333 0.667
21 Tb 0.748 0.667 0.333

Values from the calculation:
SG   P-3
Total energy   -154.9 eV per cell
Calculated formation energy   -931 meV/atom
Spin magnetization   0.00 μB per atom


3.
An optimized crystal structure of Tb3P3Rh2, computed with PBE.

Cell: 4.052 5.691 13.584 Å, 90.00 90.00 110.85°
Site moments in Bohr magnetons follow the coordinates.
Fractional positions:
1 P 0.667 0.333 0.750  -0.01
2 P 0.605 0.209 0.046  0.00
3 P 0.395 0.791 0.546  0.00
4 P 0.333 0.667 0.250  -0.01
5 P 0.395 0.791 0.954  0.00
6 P 0.605 0.209 0.454  0.00
7 Rh 0.220 0.440 0.423  0.02
8 Rh 0.220 0.440 0.077  0.02
9 Rh 0.780 0.560 0.577  0.02
10 Rh 0.780 0.560 0.923  0.02
11 Tb 0.075 0.150 0.615  0.10
12 Tb 0.925 0.850 0.385  0.10
13 Tb 0.075 0.150 0.885  0.10
14 Tb 0.640 0.279 0.250  0.19
15 Tb 0.925 0.850 0.115  0.10
16 Tb 0.360 0.721 0.750  0.19

Values from the calculation:
SG   Cmcm
Total energy   -109.1 eV per cell
Calculated formation energy   -1219 meV/atom
Spin magnetization   0.08 μB per atom


4.
An optimized crystal structure of TbPRh2, computed with PBE.

Cell: 3.818 4.568 4.568 Å, 104.96 90.00 90.00°
Fractional positions:
1 Rh 0.500 0.500 0.000
2 Rh 0.500 0.000 0.500
3 Tb 0.000 0.000 0.000
4 P 0.500 0.500 0.500

Values from the calculation:
SG   Cmmm
Total energy   -27.9 eV per cell
Calculated formation energy   -780 meV/atom
Spin magnetization   0.00 μB per atom


5.
An optimized crystal structure of Tb3P4Rh7, computed with PBE.

Cell: 3.956 7.756 8.143 Å, 70.56 75.94 75.23°
Fractional positions:
1 Rh 0.301 0.850 0.547
2 Rh 0.699 0.150 0.453
3 Rh 0.832 0.417 0.920
4 Rh 0.494 0.243 0.770
5 Rh 0.000 0.000 0.000
6 Rh 0.168 0.583 0.080
7 Rh 0.506 0.757 0.230
8 P 0.109 0.109 0.673
9 P 0.667 0.441 0.225
10 P 0.333 0.559 0.775
11 P 0.891 0.891 0.327
12 Tb 0.000 0.500 0.500
13 Tb 0.671 0.826 0.832
14 Tb 0.329 0.174 0.168

Values from the calculation:
SG   C2/m
Total energy   -102.1 eV per cell
Calculated formation energy   -1077 meV/atom
Spin magnetization   0.00 μB per atom


6.
An optimized crystal structure of Tb3P2Rh7, computed with PBE.

Cell: 4.035 4.108 13.310 Å, 98.88 90.00 90.00°
Fractional positions:
1 P 0.000 0.915 0.829
2 P 0.000 0.085 0.171
3 Rh 0.000 0.378 0.756
4 Rh 0.000 0.792 0.585
5 Rh 0.000 0.622 0.244
6 Rh 0.500 0.124 0.248
7 Rh 0.000 0.208 0.415
8 Rh 0.500 0.876 0.752
9 Rh 0.000 0.000 0.000
10 Tb 0.500 0.300 0.600
11 Tb 0.500 0.500 0.000
12 Tb 0.500 0.700 0.400

Values from the calculation:
SG   Cmmm
Total energy   -85.4 eV per cell
Calculated formation energy   -767 meV/atom
Spin magnetization   0.00 μB per atom


7.
An optimized crystal structure of Tb2P2Rh5, computed with PBE.

Cell: 4.014 4.014 10.855 Å, 90.00 90.00 90.00°
Fractional positions:
1 Tb 0.000 0.000 0.000
2 Tb 0.000 0.000 0.500
3 Rh 0.000 0.500 0.804
4 Rh 0.500 0.500 0.500
5 Rh 0.500 0.000 0.196
6 Rh 0.500 0.000 0.804
7 Rh 0.000 0.500 0.196
8 P 0.500 0.500 0.292
9 P 0.500 0.500 0.708

Values from the calculation:
SG   P4/mmm
Total energy   -63.5 eV per cell
ΔE to the lowest computed polymorph   0.254 eV/atom
Calculated formation energy   -740 meV/atom
Spin magnetization   0.00 μB per atom


8.
An optimized crystal structure of TbPRh2, computed with PBE.

Cell: 3.868 3.868 9.260 Å, 90.00 90.00 90.00°
Fractional positions:
1 Rh 0.000 0.500 0.100
2 Rh 0.500 0.500 0.500
3 Rh 0.500 0.000 0.900
4 Rh 0.000 0.000 0.500
5 Tb 0.500 0.000 0.216
6 Tb 0.000 0.500 0.784
7 P 0.000 0.500 0.347
8 P 0.500 0.000 0.653

Values from the calculation:
SG   P4/nmm
Total energy   -57.4 eV per cell
Calculated formation energy   -988 meV/atom
Spin magnetization   0.00 μB per atom


9.
An optimized crystal structure of TbP2Rh2, computed with PBE.

Cell: 6.234 6.234 6.163 Å, 113.76 113.76 101.33°
Fractional positions:
1 Rh 0.481 0.730 0.962
2 Rh 0.230 0.981 0.462
3 Rh 0.519 0.270 0.038
4 Rh 0.770 0.019 0.538
5 P 0.173 0.327 0.750
6 P 0.827 0.673 0.250
7 P 0.424 0.076 0.250
8 P 0.576 0.924 0.750
9 Tb 0.875 0.625 0.750
10 Tb 0.125 0.375 0.250

Values from the calculation:
SG   C2/c
Total energy   -69.4 eV per cell
Calculated formation energy   -908 meV/atom
Spin magnetization   0.00 μB per atom


10.
An optimized crystal structure of TbP2Rh3, computed with PBE.

Cell: 3.879 8.146 9.659 Å, 107.29 90.00 103.77°
Fractional positions:
1 P 0.540 0.080 0.779
2 P 0.802 0.604 0.868
3 P 0.198 0.396 0.132
4 P 0.460 0.920 0.221
5 P 0.363 0.726 0.549
6 P 0.637 0.274 0.451
7 Rh 0.041 0.081 0.325
8 Rh 0.959 0.919 0.675
9 Rh 0.777 0.555 0.606
10 Rh 0.322 0.644 0.046
11 Rh 0.374 0.747 0.795
12 Rh 0.500 0.000 0.500
13 Rh 0.223 0.445 0.394
14 Rh 0.626 0.253 0.205
15 Rh 0.678 0.356 0.954
16 Tb 0.000 0.000 0.000
17 Tb 0.154 0.309 0.692
18 Tb 0.846 0.691 0.308

Values from the calculation:
SG   C2/m
Total energy   -131.6 eV per cell
Calculated formation energy   -1061 meV/atom
Spin magnetization   0.00 μB per atom


11.
An optimized crystal structure of Tb3P4Rh11, computed with PBE.

Cell: 5.451 5.451 11.500 Å, 90.00 90.00 120.00°
Fractional positions:
1 Rh 0.500 0.500 0.807
2 Rh 0.333 0.667 0.000
3 Rh 0.500 0.000 0.807
4 Rh 0.000 0.500 0.193
5 Rh 0.667 0.333 0.000
6 Rh 0.500 0.000 0.193
7 Rh 0.000 0.500 0.807
8 Rh 0.500 0.500 0.500
9 Rh 0.000 0.500 0.500
10 Rh 0.500 0.000 0.500
11 Rh 0.500 0.500 0.193
12 P 0.667 0.333 0.342
13 P 0.333 0.667 0.342
14 P 0.333 0.667 0.658
15 P 0.667 0.333 0.658
16 Tb 0.000 0.000 0.000
17 Tb 0.000 0.000 0.668
18 Tb 0.000 0.000 0.332

Values from the calculation:
SG   P6/mmm
Total energy   -129.8 eV per cell
Calculated formation energy   -747 meV/atom
Spin magnetization   0.00 μB per atom


12.
An optimized crystal structure of TbTcP2Rh, computed with PBE.

Cell: 4.073 4.073 5.638 Å, 111.17 111.17 90.00°
Fractional positions:
1 P 0.624 0.624 0.248
2 P 0.376 0.376 0.752
3 Tb 0.000 0.000 0.000
4 Rh 0.750 0.250 0.500
5 Tc 0.250 0.750 0.500

Values from the calculation:
SG   I-4m2
Total energy   -38.3 eV per cell
Calculated formation energy   -1031 meV/atom
Spin magnetization   0.00 μB per atom


calculated formation energy of number 12 (TbTcP2Rh)?
-1031 meV/atom


Among the records above, which one has the highest spin magnetization?
Tb3P3Rh2


Which value of calculated formation energy does entry 5 give?
-1077 meV/atom


Repeat the third record exactly.
An optimized crystal structure of Tb3P3Rh2, computed with PBE.

Cell: 4.052 5.691 13.584 Å, 90.00 90.00 110.85°
Site moments in Bohr magnetons follow the coordinates.
Fractional positions:
1 P 0.667 0.333 0.750  -0.01
2 P 0.605 0.209 0.046  0.00
3 P 0.395 0.791 0.546  0.00
4 P 0.333 0.667 0.250  -0.01
5 P 0.395 0.791 0.954  0.00
6 P 0.605 0.209 0.454  0.00
7 Rh 0.220 0.440 0.423  0.02
8 Rh 0.220 0.440 0.077  0.02
9 Rh 0.780 0.560 0.577  0.02
10 Rh 0.780 0.560 0.923  0.02
11 Tb 0.075 0.150 0.615  0.10
12 Tb 0.925 0.850 0.385  0.10
13 Tb 0.075 0.150 0.885  0.10
14 Tb 0.640 0.279 0.250  0.19
15 Tb 0.925 0.850 0.115  0.10
16 Tb 0.360 0.721 0.750  0.19

Values from the calculation:
SG   Cmcm
Total energy   -109.1 eV per cell
Calculated formation energy   -1219 meV/atom
Spin magnetization   0.08 μB per atom